Run one
Entry from Alexandria via LeMat-Bulk: a relaxed Hf2UGe crystal (PBE).

Geometry as POSCAR:
```
Hf2UGe
1.0
1.584 0.915 9.765
-1.584 0.915 9.765
0.000 -1.829 9.765
Hf U Ge
2 1 1
Direct
0.243 0.243 0.243
0.757 0.757 0.757
0.000 0.000 0.000
0.500 0.500 0.500
```

***

Run two
Entry from Alexandria via LeMat-Bulk: a relaxed Hf2UGe crystal (PBE).

Geometry as POSCAR:
```
Hf2UGe
1.0
4.495 0.000 0.000
0.000 4.495 0.000
0.000 0.000 4.011
Hf U Ge
2 1 1
Direct
0.000 0.500 0.000
0.500 0.000 0.000
0.000 0.000 0.500
0.500 0.500 0.500
```

***

Stability, lowest: run one

***

Run one
Entry from Alexandria via LeMat-Bulk: a relaxed Hf3VGe crystal (PBE).

Geometry as POSCAR:
```
Hf3VGe
1.0
4.945 0.000 0.000
0.000 4.945 0.000
0.000 0.000 4.945
Hf V Ge
3 1 1
Direct
0.000 0.000 0.500
0.000 0.500 0.000
0.500 0.000 0.000
0.500 0.500 0.500
0.000 0.000 0.000
```

***

Run two
Entry from Alexandria via LeMat-Bulk: a relaxed Hf3VGe crystal (PBE).

Geometry as POSCAR:
```
Hf3VGe
1.0
4.819 0.000 0.000
0.000 4.819 0.000
0.000 0.000 4.819
Hf V Ge
3 1 1
Direct
0.000 0.000 0.500
0.000 0.500 0.000
0.500 0.000 0.000
0.000 0.000 0.000
0.500 0.500 0.500
```

***

Stability, lowest: run two

***

Run one
Entry from Alexandria via LeMat-Bulk: a relaxed Hf2V3Ge crystal (PBE).

Geometry as POSCAR:
```
Hf2V3Ge
1.0
5.174 0.000 0.000
-2.587 4.481 0.000
0.000 0.000 8.537
Hf V Ge
4 6 2
Direct
0.333 0.667 0.061
0.333 0.667 0.439
0.667 0.333 0.561
0.667 0.333 0.939
0.178 0.356 0.750
0.178 0.822 0.750
0.356 0.178 0.250
0.644 0.822 0.750
0.822 0.178 0.250
0.822 0.644 0.250
0.000 0.000 0.000
0.000 0.000 0.500
```

***

Run two
Entry from Alexandria via LeMat-Bulk: a relaxed Hf2V3Ge crystal (PBE).

Geometry as POSCAR:
```
Hf2V3Ge
1.0
2.576 1.487 4.291
-2.576 1.487 4.291
0.000 -2.974 4.291
Hf V Ge
2 3 1
Direct
0.124 0.124 0.124
0.876 0.876 0.876
0.000 0.500 0.500
0.500 0.000 0.500
0.500 0.500 0.000
0.500 0.500 0.500
```

***

Stability, lowest: run two

***

Run one
Entry from Alexandria via LeMat-Bulk: a relaxed HfV3Ge crystal (PBE).

Geometry as POSCAR:
```
HfV3Ge
1.0
8.515 0.000 0.000
0.000 3.307 0.000
0.000 0.000 11.252
Hf V Ge
4 12 4
Direct
0.158 0.250 0.004
0.342 0.750 0.504
0.658 0.250 0.496
0.842 0.750 0.996
0.071 0.250 0.406
0.094 0.750 0.233
0.152 0.750 0.794
0.348 0.250 0.294
0.406 0.250 0.733
0.429 0.750 0.906
0.571 0.250 0.094
0.594 0.750 0.267
0.652 0.750 0.706
0.848 0.250 0.206
0.906 0.250 0.767
0.929 0.750 0.594
0.145 0.250 0.627
0.355 0.750 0.127
0.645 0.250 0.873
0.855 0.750 0.373
```

***

Run two
Entry from Alexandria via LeMat-Bulk: a relaxed HfV3Ge crystal (PBE).

Geometry as POSCAR:
```
HfV3Ge
1.0
4.618 0.000 0.000
0.000 4.618 0.000
0.000 0.000 4.618
Hf V Ge
1 3 1
Direct
0.000 0.000 0.000
0.000 0.000 0.500
0.000 0.500 0.000
0.500 0.000 0.000
0.500 0.500 0.500
```

***

Stability, lowest: run two